# PBE Pm3Fe4Si4, optimized geometry
data_Pm3Fe4Si4
_cell_length_a 6.241
_cell_length_b 6.241
_cell_length_c 6.241
_cell_angle_alpha 109.47
_cell_angle_beta 109.47
_cell_angle_gamma 109.47
_symmetry_space_group_name_H-M 'P 1'
_symmetry_Int_Tables_number 1
loop_
_symmetry_equiv_pos_as_xyz
'x,y,z'
loop_
_atom_site_label
_atom_site_type_symbol
_atom_site_fract_x
_atom_site_fract_y
_atom_site_fract_z
Pm1 Pm 0.000 0.500 0.500
Pm2 Pm 0.500 0.000 0.500
Pm3 Pm 0.500 0.500 0.000
Fe1 Fe 0.000 0.000 0.746
Fe2 Fe 0.000 0.746 0.000
Fe3 Fe 0.254 0.254 0.254
Fe4 Fe 0.746 0.000 0.000
Si1 Si 0.000 0.000 0.379
Si2 Si 0.000 0.379 0.000
Si3 Si 0.379 0.000 0.000
Si4 Si 0.621 0.621 0.621
# ΔE_f (raw), eV per atom: -0.5521
# Fermi-level density of states, states/eV/f.u.: 10.1
# Uncorrected energy, eV per atom: -6.8971